Record 1
A plane-wave DFT calculation with PBE was carried out for a relaxed Cu2SbSe crystal.

Output
**Uncorrected formation energy**: 0.25 eV per atom

a b c (Å): 3.5880 3.5880 5.6689
angles (deg): 90.00 90.00 90.00
Fractional coordinates of all 4 atoms:
1 Se 0.5000 0.5000 0.7500
2 Cu 0.0000 0.0000 0.4987
3 Cu 0.0000 0.0000 0.0013
4 Sb 0.5000 0.5000 0.2500

---

Record 2
A plane-wave DFT calculation with PBE was carried out for a relaxed CuSbSe3 crystal.

Output
**Uncorrected formation energy**: 0.29 eV per atom

a b c (Å): 4.8010 4.8010 4.8010
angles (deg): 90.00 90.00 90.00
Fractional coordinates of all 5 atoms:
1 Se 0.0000 0.0000 0.5000
2 Se 0.5000 0.0000 0.0000
3 Se 0.0000 0.5000 0.0000
4 Sb 0.5000 0.5000 0.5000
5 Cu 0.0000 0.0000 0.0000

---

Record 3
A plane-wave DFT calculation with PBE was carried out for a relaxed CuSb2Se crystal.

Output
**Uncorrected formation energy**: 0.35 eV per atom

a b c (Å): 5.0296 5.0296 5.0296
angles (deg): 60.00 60.00 60.00
Fractional coordinates of all 4 atoms:
1 Sb 0.0000 0.0000 0.0000
2 Sb 0.2500 0.2500 0.2500
3 Cu 0.5000 0.5000 0.5000
4 Se 0.7500 0.7500 0.7500